An optimized crystal structure of Ac2YHfO6. Source: Alexandria, functional PBE.

Structure (CIF):
```
data_Ac2YHfO6
_chemical_formula_sum 'Ac4 Y2 Hf2 O12'
_symmetry_space_group_name_H-M 'P 1 21/c 1'
_symmetry_Int_Tables_number 14
_cell_length_a 5.988
_cell_length_b 6.070
_cell_length_c 10.383
_cell_angle_alpha 90.00
_cell_angle_beta 124.98
_cell_angle_gamma 90.00
loop_
_symmetry_equiv_pos_as_xyz
'x,y,z'
'-x,-y,-z'
'-x,y+1/2,-z+1/2'
'x,-y+1/2,z+1/2'
loop_
_atom_site_label
_atom_site_fract_x
_atom_site_fract_y
_atom_site_fract_z
_atom_site_occupancy
Ac1 0.245 0.053 0.247 1
Y1 0.500 0.000 0.000 1
Hf1 0.000 0.000 0.500 1
O1 0.132 0.205 0.953 1
O2 0.249 0.687 0.952 1
O3 0.331 0.033 0.740 1
```

Output
* formation energy from raw total energies: -3.286 eV per atom



An optimized crystal structure of Ce2PmPr3Se6. Source: Alexandria, functional PBE.

Structure (CIF):
```
data_Ce2PmPr3Se6
_chemical_formula_sum 'Ce4 Pm2 Pr6 Se12'
_symmetry_space_group_name_H-M 'C 1 2/m 1'
_symmetry_Int_Tables_number 12
_cell_length_a 7.318
_cell_length_b 12.688
_cell_length_c 7.351
_cell_angle_alpha 90.00
_cell_angle_beta 109.43
_cell_angle_gamma 90.00
loop_
_symmetry_equiv_pos_as_xyz
'x,y,z'
'-x,-y,-z'
'-x,y,-z'
'x,-y,z'
'x+1/2,y+1/2,z'
'-x+1/2,-y+1/2,-z'
'-x+1/2,y+1/2,-z'
'x+1/2,-y+1/2,z'
loop_
_atom_site_label
_atom_site_fract_x
_atom_site_fract_y
_atom_site_fract_z
_atom_site_occupancy
Ce1 0.000 0.166 0.000 1
Pm1 0.000 0.500 0.000 1
Pr1 0.000 0.000 0.500 1
Pr2 0.000 0.335 0.500 1
Se1 0.247 0.000 0.244 1
Se2 0.249 0.333 0.245 1
```

Output
* formation energy from raw total energies: -1.842 eV per atom



An optimized crystal structure of Y4Er3Sb4. Source: Alexandria, functional PBE.

Structure (CIF):
```
data_Y4Er3Sb4
_chemical_formula_sum 'Y8 Er6 Sb8'
_symmetry_space_group_name_H-M 'I m m m'
_symmetry_Int_Tables_number 71
_symmetry_space_group_name_Hall '-I 2 2'
_cell_length_a 4.015
_cell_length_b 9.148
_cell_length_c 17.246
_cell_angle_alpha 90.00
_cell_angle_beta 90.00
_cell_angle_gamma 90.00
loop_
_atom_site_label
_atom_site_fract_x
_atom_site_fract_y
_atom_site_fract_z
_atom_site_occupancy
Y1 0.000 0.183 0.168 1
Er1 0.000 0.000 0.401 1
Er2 0.000 0.500 0.500 1
Sb1 0.000 0.294 0.000 1
Sb2 0.000 0.500 0.234 1
```

Output
* formation energy from raw total energies: -0.759 eV per atom



An optimized crystal structure of Hf4TiN. Source: Alexandria, functional PBE.

Structure (CIF):
```
data_Hf4TiN
_chemical_formula_sum 'Hf8 Ti2 N2'
_symmetry_space_group_name_H-M 'P 1 21/c 1'
_symmetry_Int_Tables_number 14
_cell_length_a 6.116
_cell_length_b 6.054
_cell_length_c 6.062
_cell_angle_alpha 90.00
_cell_angle_beta 96.82
_cell_angle_gamma 90.00
loop_
_symmetry_equiv_pos_as_xyz
'x,y,z'
'-x,-y,-z'
'-x,y+1/2,-z+1/2'
'x,-y+1/2,z+1/2'
loop_
_atom_site_label
_atom_site_fract_x
_atom_site_fract_y
_atom_site_fract_z
_atom_site_occupancy
Hf1 0.098 0.174 0.187 1
Hf2 0.323 0.629 0.084 1
Ti1 0.500 0.000 0.000 1
N1 0.000 0.000 0.500 1
```

Output
* formation energy from raw total energies: -0.356 eV per atom



An optimized crystal structure of NbP2Se. Source: Alexandria, functional PBE.

Structure (CIF):
```
data_NbP2Se
_chemical_formula_sum 'Nb4 P8 Se4'
_symmetry_space_group_name_H-M 'I -4 2 d'
_symmetry_Int_Tables_number 122
_symmetry_space_group_name_Hall 'I -4 2bw'
_cell_length_a 5.814
_cell_length_b 5.814
_cell_length_c 11.168
_cell_angle_alpha 90.00
_cell_angle_beta 90.00
_cell_angle_gamma 90.00
loop_
_atom_site_label
_atom_site_fract_x
_atom_site_fract_y
_atom_site_fract_z
_atom_site_occupancy
Nb1 0.000 0.000 0.000 1
P1 0.225 0.250 0.125 1
Se1 0.000 0.000 0.500 1
```

Output
* formation energy from raw total energies: 0.270 eV per atom



An optimized crystal structure of CoNi7Ge4. Source: Alexandria, functional PBE.

Structure (CIF):
```
data_CoNi7Ge4
_chemical_formula_sum 'Co1 Ni7 Ge4'
_symmetry_space_group_name_H-M 'P -1'
_symmetry_Int_Tables_number 2
_cell_length_a 4.579
_cell_length_b 5.093
_cell_length_c 6.779
_cell_angle_alpha 107.91
_cell_angle_beta 102.29
_cell_angle_gamma 91.34
loop_
_symmetry_equiv_pos_as_xyz
'x,y,z'
'-x,-y,-z'
loop_
_atom_site_label
_atom_site_fract_x
_atom_site_fract_y
_atom_site_fract_z
_atom_site_occupancy
Co1 0.000 0.000 0.000 1
Ni1 0.000 0.500 0.000 1
Ni2 0.182 0.874 0.625 1
Ni3 0.280 0.414 0.333 1
Ni4 0.476 0.238 0.986 1
Ge1 0.225 0.432 0.696 1
Ge2 0.286 0.919 0.303 1
```

Output
* DFT formation energy: -0.175 eV per atom



An optimized crystal structure of MoRu4. Source: Alexandria, functional PBE.

Structure (CIF):
```
data_MoRu4
_chemical_formula_sum 'Mo1 Ru4'
_symmetry_space_group_name_H-M 'P m -3 m'
_symmetry_Int_Tables_number 221
_symmetry_space_group_name_Hall '-P 4 2 3'
_cell_length_a 4.602
_cell_length_b 4.602
_cell_length_c 4.602
_cell_angle_alpha 90.00
_cell_angle_beta 90.00
_cell_angle_gamma 90.00
loop_
_atom_site_label
_atom_site_fract_x
_atom_site_fract_y
_atom_site_fract_z
_atom_site_occupancy
Mo1 0.000 0.000 0.000 1
Ru1 0.000 0.000 0.500 1
Ru2 0.500 0.500 0.500 1
```

Output
* DFT formation energy: 1.894 eV per atom



An optimized crystal structure of Pm4Er5Mg. Source: Alexandria, functional PBE.

Structure (CIF):
```
data_Pm4Er5Mg
_chemical_formula_sum 'Pm4 Er5 Mg1'
_symmetry_space_group_name_H-M 'P 4/m m m'
_symmetry_Int_Tables_number 123
_symmetry_space_group_name_Hall '-P 4 2'
_cell_length_a 3.593
_cell_length_b 3.593
_cell_length_c 24.280
_cell_angle_alpha 90.00
_cell_angle_beta 90.00
_cell_angle_gamma 90.00
loop_
_atom_site_label
_atom_site_fract_x
_atom_site_fract_y
_atom_site_fract_z
_atom_site_occupancy
Pm1 0.000 0.000 0.103 1
Pm2 0.000 0.000 0.311 1
Er1 0.500 0.500 0.000 1
Er2 0.500 0.500 0.207 1
Er3 0.500 0.500 0.412 1
Mg1 0.000 0.000 0.500 1
```

Output
* ΔE to the lowest computed polymorph: 0.00 eV per formula unit
* DFT formation energy: 0.002 eV per atom



An optimized crystal structure of La7Pm2Th2. Source: Alexandria, functional PBE.

Structure (CIF):
```
data_La7Pm2Th2
_chemical_formula_sum 'La14 Pm4 Th4'
_symmetry_space_group_name_H-M 'C 1 2/m 1'
_symmetry_Int_Tables_number 12
_cell_length_a 11.839
_cell_length_b 11.561
_cell_length_c 6.189
_cell_angle_alpha 90.00
_cell_angle_beta 112.28
_cell_angle_gamma 90.00
loop_
_symmetry_equiv_pos_as_xyz
'x,y,z'
'-x,-y,-z'
'-x,y,-z'
'x,-y,z'
'x+1/2,y+1/2,z'
'-x+1/2,-y+1/2,-z'
'-x+1/2,y+1/2,-z'
'x+1/2,-y+1/2,z'
loop_
_atom_site_label
_atom_site_fract_x
_atom_site_fract_y
_atom_site_fract_z
_atom_site_occupancy
La1 0.000 0.000 0.000 1
La2 0.061 0.500 0.793 1
La3 0.188 0.221 0.179 1
Pm1 0.217 0.000 0.605 1
Th1 0.000 0.218 0.500 1
```

Output
* ΔE to the lowest computed polymorph: 0.00 eV per formula unit
* DFT formation energy: 0.146 eV per atom



An optimized crystal structure of ReC2. Source: Alexandria, functional PBE.

Structure (CIF):
```
data_ReC2
_chemical_formula_sum 'Re4 C8'
_symmetry_space_group_name_H-M 'C 1 m 1'
_symmetry_Int_Tables_number 8
_cell_length_a 6.386
_cell_length_b 2.812
_cell_length_c 7.362
_cell_angle_alpha 90.00
_cell_angle_beta 90.56
_cell_angle_gamma 90.00
loop_
_symmetry_equiv_pos_as_xyz
'x,y,z'
'x,-y,z'
'x+1/2,y+1/2,z'
'x+1/2,-y+1/2,z'
loop_
_atom_site_label
_atom_site_fract_x
_atom_site_fract_y
_atom_site_fract_z
_atom_site_occupancy
Re1 0.000 0.000 0.000 1
Re2 0.074 0.000 0.588 1
C1 0.036 0.500 0.203 1
C2 0.055 0.500 0.384 1
C3 0.285 0.000 0.890 1
C4 0.367 0.000 0.706 1
```

Output
* ΔE to the lowest computed polymorph: 1.00 eV per formula unit
* DFT formation energy: 0.773 eV per atom



An optimized crystal structure of TaNi2P. Source: Alexandria, functional PBE.

Structure (CIF):
```
data_TaNi2P
_chemical_formula_sum 'Ta2 Ni4 P2'
_symmetry_space_group_name_H-M 'C 1 m 1'
_symmetry_Int_Tables_number 8
_cell_length_a 7.696
_cell_length_b 3.522
_cell_length_c 4.411
_cell_angle_alpha 90.00
_cell_angle_beta 117.90
_cell_angle_gamma 90.00
loop_
_symmetry_equiv_pos_as_xyz
'x,y,z'
'x,-y,z'
'x+1/2,y+1/2,z'
'x+1/2,-y+1/2,z'
loop_
_atom_site_label
_atom_site_fract_x
_atom_site_fract_y
_atom_site_fract_z
_atom_site_occupancy
Ta1 0.000 0.000 0.000 1
Ni1 0.204 0.000 0.703 1
Ni2 0.415 0.000 0.389 1
P1 0.228 0.500 0.389 1
```

Output
* DFT formation energy: -0.469 eV per atom



An optimized crystal structure of CsLi3Mo. Source: Alexandria, functional PBE.

Structure (CIF):
```
data_CsLi3Mo
_chemical_formula_sum 'Cs1 Li3 Mo1'
_symmetry_space_group_name_H-M 'P m -3 m'
_symmetry_Int_Tables_number 221
_symmetry_space_group_name_Hall '-P 4 2 3'
_cell_length_a 5.284
_cell_length_b 5.284
_cell_length_c 5.284
_cell_angle_alpha 90.00
_cell_angle_beta 90.00
_cell_angle_gamma 90.00
loop_
_atom_site_label
_atom_site_fract_x
_atom_site_fract_y
_atom_site_fract_z
_atom_site_occupancy
Cs1 0.000 0.000 0.000 1
Li1 0.000 0.000 0.500 1
Mo1 0.500 0.500 0.500 1
```

Output
* ΔE to the lowest computed polymorph: 3.00 eV per formula unit
* DFT formation energy: 1.608 eV per atom



An optimized crystal structure of K2AgPbF6. Source: Alexandria, functional PBE.

Structure (CIF):
```
data_K2AgPbF6
_chemical_formula_sum 'K4 Ag2 Pb2 F12'
_symmetry_space_group_name_H-M 'P 1 21/c 1'
_symmetry_Int_Tables_number 14
_cell_length_a 6.308
_cell_length_b 6.495
_cell_length_c 10.944
_cell_angle_alpha 90.00
_cell_angle_beta 124.56
_cell_angle_gamma 90.00
loop_
_symmetry_equiv_pos_as_xyz
'x,y,z'
'-x,-y,-z'
'-x,y+1/2,-z+1/2'
'x,-y+1/2,z+1/2'
loop_
_atom_site_label
_atom_site_fract_x
_atom_site_fract_y
_atom_site_fract_z
_atom_site_occupancy
K1 0.234 0.049 0.248 1
Ag1 0.000 0.000 0.500 1
Pb1 0.500 0.000 0.000 1
F1 0.158 0.206 0.952 1
F2 0.244 0.710 0.948 1
F3 0.345 0.037 0.750 1
```

Output
* formation energy from raw total energies: -2.201 eV per atom



E (computed, eV/atom): -8.724, -6.164, -5.853, -9.695, -5.823, -5.679, -7.693, -4.339, -5.202, -9.526, -7.676, -1.878, -4.199
Total magnetization (computed, μB/cell): 0.00, 3.72, 0.00, 2.88, 0.00, 2.03, 4.69, 0.00, 0.00, 0.00, 0.00, 4.32, 0.00
DOS at the Fermi energy (computed, states/eV per cell): 7.20, 30.48, 23.36, 8.66, 14.64, 8.21, 7.28, 13.54, 33.87, 4.05, 1.99, 5.15, 4.15